Entry from Alexandria: an optimized crystal structure of LaAl2Zn4Ag (PBE-GGA).

Cell and atoms, written as extended XYZ:
```
8
Lattice="-4.308 0.346 -0.863 -2.931 -2.093 2.540 -2.910 6.639 5.935" Properties=species:S:1:pos:R:3 pbc="T T T"
Ag -5.075 2.446 3.806
Al -7.607 3.595 5.654
Al -2.543 1.297 1.958
La 0.000 0.000 0.000
Zn -7.428 0.994 3.717
Zn -2.722 3.899 3.895
Zn -5.223 4.594 5.405
Zn -4.927 0.299 2.207
```

=====

Entry from Alexandria: an optimized crystal structure of LaAlZn2Ag5 (PBE-GGA).

Cell and atoms, written as extended XYZ:
```
9
Lattice="-1.500 -0.278 -4.768 2.332 -4.404 -0.477 -6.197 -3.514 2.154" Properties=species:S:1:pos:R:3 pbc="T T T"
Ag -2.065 -0.885 -1.927
Ag -3.716 -4.971 1.458
Ag -0.149 -2.948 0.219
Ag -5.632 -2.907 -0.688
Ag -2.682 -4.098 -1.546
Al 0.000 0.000 0.000
Zn -0.574 -2.903 -2.278
Zn -4.790 -5.293 -0.813
La -3.098 -1.757 1.077
```

=====

Number 1: ΔE_f -0.17 eV/atom. Number 2: ΔE_f 0.04 eV/atom.